Entry 1:
Li3SbPd3 | PBE | relaxed

Unit cell a=8.8588 b=8.9343 c=5.8366 alpha=90.00 beta=90.00 gamma=90.00
Space group Cmmm (No. 65)
Symmetry-distinct sites (fractional):
Li 0.0000 0.2416 0.0000
Li 0.0000 0.2474 0.5000
Li 0.2350 0.0000 0.5000
Sb 0.2457 0.0000 0.0000
Pd 0.0000 0.5000 0.2568
Pd 0.2500 0.2500 0.2577

Properties
**Polymorph energy (0 for the lowest one)**: 0.000 eV per atom
**E**: -116.05 eV/cell

Entry 2:
Li2TmPd9 | PBE | relaxed

Unit cell a=4.0157 b=4.0157 c=11.5945 alpha=90.00 beta=90.00 gamma=90.00
Space group P4/mmm (No. 123)
Symmetry-distinct sites (fractional):
Li 0.0000 0.0000 0.1585
Tm 0.0000 0.0000 0.5000
Pd 0.0000 0.5000 0.0000
Pd 0.0000 0.5000 0.3211
Pd 0.5000 0.5000 0.1600
Pd 0.5000 0.5000 0.5000

Properties
**E**: -60.61 eV/cell
**Energy relative to the elements**: -538.2 kJ/mol of formula units

Entry 3:
SrLaZnGe | PBE | relaxed

Unit cell a=7.6000 b=7.6000 c=7.6000 alpha=90.00 beta=90.00 gamma=90.00
Space group F-43m (No. 216)
Symmetry-distinct sites (fractional):
Sr 0.0000 0.0000 0.0000
La 0.0000 0.0000 0.5000
Zn 0.2500 0.2500 0.7500
Ge 0.2500 0.2500 0.2500

Properties
**E**: -56.96 eV/cell
**Energy relative to the elements**: -167.7 kJ/mol of formula units

Entry 4:
YP2BrO | PBE | relaxed

Unit cell a=4.8524 b=4.8524 c=4.0660 alpha=90.00 beta=90.00 gamma=90.00
Space group P4/mmm (No. 123)
Symmetry-distinct sites (fractional):
Y 0.0000 0.0000 0.0000
P 0.0000 0.5000 0.5000
Br 0.5000 0.5000 0.5000
O 0.5000 0.5000 0.0000

Properties
**Polymorph energy (0 for the lowest one)**: 0.174 eV per atom
**E**: -22.90 eV/cell